Entry 1:
Density functional theory data (PBE-GGA) for GaPS2 after structural relaxation.

Cell lengths 8.5663, 8.5663, 8.5663 Å; angles 22.40, 22.40, 22.40 degrees
Positions (direct):
P1 0.5000 0.5000 0.5000
S1 0.8888 0.8888 0.8888
S2 0.1112 0.1112 0.1112
Ga1 0.0000 0.0000 0.0000

Results
magnetization	0.0	μB per cell
relative energy among the computed polymorphs	0.056	eV/atom
ΔE_f (raw)	0.071	eV/atom

---

Entry 2:
Density functional theory data (PBE-GGA) for GaPS after structural relaxation.

Cell lengths 3.6656, 3.4901, 9.7487 Å; angles 90.00, 107.87, 90.00 degrees
Positions (direct):
Ga1 0.8336 0.0000 0.1540
Ga2 0.8336 0.5000 0.6540
P1 0.3056 0.0000 0.5826
P2 0.3056 0.5000 0.0826
S1 0.3459 0.0000 0.3734
S2 0.3459 0.5000 0.8734

Results
magnetization	0.0	μB per cell
relative energy among the computed polymorphs	0.190	eV/atom
ΔE_f (raw)	-0.041	eV/atom

---

Entry 3:
Density functional theory data (PBE-GGA) for Ga2PS after structural relaxation.

Cell lengths 3.8135, 4.5755, 4.8118 Å; angles 90.00, 90.00, 90.00 degrees
Positions (direct):
Ga1 0.8750 0.0000 0.9961
Ga2 0.8749 0.5000 0.2411
P1 0.3750 0.0000 0.6952
S1 0.3750 0.5000 0.5676

Results
magnetization	0.0	μB per cell
relative energy among the computed polymorphs	0.180	eV/atom
ΔE_f (raw)	-0.067	eV/atom

---

Entry 4:
Density functional theory data (PBE-GGA) for Ga2PS after structural relaxation.

Cell lengths 5.8691, 5.8691, 6.6282 Å; angles 63.72, 63.72, 90.00 degrees
Positions (direct):
P1 0.5000 0.5000 0.0000
P2 0.2500 0.7500 0.5000
S1 0.0000 0.0000 0.0000
S2 0.7500 0.2500 0.5000
Ga1 0.6124 0.1250 0.2500
Ga2 0.1376 0.6250 0.2500
Ga3 0.3750 0.3876 0.7500
Ga4 0.8750 0.8624 0.7500

Results
magnetization	0.0	μB per cell
relative energy among the computed polymorphs	0.000	eV/atom
ΔE_f (raw)	-0.248	eV/atom

---

Entry 5:
Density functional theory data (PBE-GGA) for GaPS2 after structural relaxation.

Cell lengths 7.7740, 7.7740, 7.7740 Å; angles 25.95, 25.95, 25.95 degrees
Positions (direct):
P1 0.0000 0.0000 0.0000
S1 0.8955 0.8955 0.8955
S2 0.1045 0.1045 0.1045
Ga1 0.5000 0.5000 0.5000

Results
magnetization	0.0	μB per cell
relative energy among the computed polymorphs	0.000	eV/atom
ΔE_f (raw)	0.014	eV/atom

---

Entry 6:
Density functional theory data (PBE-GGA) for GaPS2 after structural relaxation.

Cell lengths 4.5095, 4.5095, 4.5095 Å; angles 60.00, 60.00, 60.00 degrees
Positions (direct):
P1 0.0000 0.0000 0.0000
S1 0.2500 0.2500 0.2500
S2 0.7500 0.7500 0.7500
Ga1 0.5000 0.5000 0.5000

Results
magnetization	0.0	μB per cell
relative energy among the computed polymorphs	0.445	eV/atom
ΔE_f (raw)	0.459	eV/atom

---

Entry 7:
Density functional theory data (PBE-GGA) for GaPS after structural relaxation.

Cell lengths 3.9790, 8.5955, 5.2097 Å; angles 60.41, 68.03, 64.07 degrees
Positions (direct):
P1 0.9096 0.4631 0.7430
P2 0.0904 0.5369 0.2570
Ga1 0.4200 0.3105 0.0132
Ga2 0.5800 0.6895 0.9868
S1 0.5970 0.9966 0.2831
S2 0.4030 0.0034 0.7169

Results
magnetization	0.0	μB per cell
relative energy among the computed polymorphs	0.078	eV/atom
ΔE_f (raw)	-0.153	eV/atom

---

Entry 8:
Density functional theory data (PBE-GGA) for GaPS after structural relaxation.

Cell lengths 3.0074, 4.3361, 5.1996 Å; angles 90.03, 106.41, 89.95 degrees
Positions (direct):
Ga1 0.5811 0.9022 0.0502
P1 0.4248 0.4023 0.7631
S1 0.7730 0.4019 0.4520

Results
magnetization	0.0	μB per cell
relative energy among the computed polymorphs	0.333	eV/atom
ΔE_f (raw)	0.102	eV/atom

---

Entry 9:
Density functional theory data (PBE-GGA) for GaP2S4 after structural relaxation.

Cell lengths 6.1354, 6.1354, 6.1354 Å; angles 103.11, 103.11, 123.12 degrees
Positions (direct):
Ga1 0.5000 0.5000 0.0000
P1 0.2500 0.7500 0.5000
P2 0.7500 0.2500 0.5000
S1 0.3289 0.1469 0.4758
S2 0.8531 0.3289 0.1819
S3 0.1469 0.6711 0.8181
S4 0.6711 0.8531 0.5242

Results
magnetization	0.0	μB per cell
ΔE_f (raw)	0.158	eV/atom

---

Entry 10:
Density functional theory data (PBE-GGA) for Ga2P2S7 after structural relaxation.

Cell lengths 6.4112, 6.7582, 6.7582 Å; angles 92.84, 81.78, 81.78 degrees
Positions (direct):
Ga1 0.1626 0.7667 0.7667
Ga2 0.8374 0.2333 0.2333
P1 0.5000 0.3479 0.6521
P2 0.5000 0.6521 0.3479
S1 0.1858 0.4529 0.8763
S2 0.8142 0.1237 0.5471
S3 0.8142 0.5471 0.1237
S4 0.1858 0.8763 0.4529
S5 0.3979 0.3588 0.3588
S6 0.0000 0.0000 0.0000
S7 0.6021 0.6412 0.6412

Results
magnetization	0.0	μB per cell
ΔE_f (raw)	-0.025	eV/atom

---

Entry 11:
Density functional theory data (PBE-GGA) for GaP2S8 after structural relaxation.

Cell lengths 5.6072, 7.5104, 7.5104 Å; angles 79.58, 78.64, 78.64 degrees
Positions (direct):
Ga1 0.0000 0.0000 0.0000
P1 0.3989 0.1823 0.1823
P2 0.6011 0.8177 0.8177
S1 0.6729 0.0905 0.7478
S2 0.3271 0.2522 0.9095
S3 0.7661 0.1903 0.1903
S4 0.2339 0.8097 0.8097
S5 0.6729 0.7478 0.0905
S6 0.3271 0.9095 0.2522
S7 0.1997 0.3468 0.3468
S8 0.8003 0.6532 0.6532

Results
magnetization	0.0	μB per cell
ΔE_f (raw)	-0.063	eV/atom

---

Entry 12:
Density functional theory data (PBE-GGA) for GaPS after structural relaxation.

Cell lengths 3.9129, 3.9404, 5.0809 Å; angles 91.93, 108.61, 118.32 degrees
Positions (direct):
Ga1 0.5657 0.8259 0.8382
P1 0.9840 0.5353 0.0073
S1 0.0092 0.6830 0.4198

Results
magnetization	0.0	μB per cell
relative energy among the computed polymorphs	0.000	eV/atom
ΔE_f (raw)	-0.231	eV/atom

---

Entry 13:
Density functional theory data (PBE-GGA) for GaPS after structural relaxation.

Cell lengths 2.9683, 3.3190, 7.3092 Å; angles 90.00, 90.00, 90.00 degrees
Positions (direct):
Ga1 0.0000 0.0000 0.9413
P1 0.5000 0.0000 0.6835
S1 0.0000 0.5000 0.1540

Results
magnetization	0.0	μB per cell
relative energy among the computed polymorphs	0.361	eV/atom
ΔE_f (raw)	0.130	eV/atom

---

Entry 14:
Density functional theory data (PBE-GGA) for GaPS2 after structural relaxation.

Cell lengths 6.5522, 6.5522, 5.8054 Å; angles 55.65, 55.65, 90.00 degrees
Positions (direct):
P1 0.5000 0.5000 0.0000
P2 0.2500 0.7500 0.5000
S1 0.6237 0.1250 0.2500
S2 0.1263 0.6250 0.2500
S3 0.3750 0.3763 0.7500
S4 0.8750 0.8737 0.7500
Ga1 0.0000 0.0000 0.0000
Ga2 0.7500 0.2500 0.5000

Results
magnetization	0.0	μB per cell
relative energy among the computed polymorphs	0.133	eV/atom
ΔE_f (raw)	0.147	eV/atom